The following is a DFT calculation (GGA-PBE) of DyGeAu after structural relaxation.

Properties
The total energy comes out at -43.76 eV/cell. The space group is P-62m.

Structure (CIF):
```
data_DyGeAu
_chemical_formula_sum 'Dy3 Ge3 Au3'
_cell_length_a 7.333
_cell_length_b 7.333
_cell_length_c 4.132
_cell_angle_alpha 90.00
_cell_angle_beta 90.00
_cell_angle_gamma 120.00
_space_group_name_H-M_alt 'P 1'
_space_group_IT_number 1
loop_
_space_group_symop_operation_xyz
'x,y,z'
loop_
_atom_site_label
_atom_site_fract_x
_atom_site_fract_y
_atom_site_fract_z
Dy1 0.000 0.604 0.000
Dy2 0.396 0.396 0.000
Dy3 0.604 0.000 0.000
Ge1 0.000 0.265 0.500
Ge2 0.265 0.000 0.500
Ge3 0.735 0.735 0.500
Au1 0.000 0.000 0.000
Au2 0.333 0.667 0.500
Au3 0.667 0.333 0.500
```